The following is a PBE-GGA calculation of a geometry-optimized ZnSb4Pt structure, from Alexandria.

The calculation puts the uncorrected formation energy at 0.666 eV/atom.

It has space group F-43m (No. 216), with a = 8.593 Å, b = 8.593 Å, c = 8.593 Å, α = 90.00°, β = 90.00° and γ = 90.00°. The asymmetric unit holds Zn at (0.000, 0.000, 0.000), Sb at (0.126, 0.126, 0.374) and Pt at (0.250, 0.250, 0.750).